Entry from Alexandria via LeMat-Bulk: a relaxed LaCoRu2 crystal (PBE-GGA).

Calculated values
The uncorrected energy is -7.251 eV per atom. The calculation puts the formation energy at 0.395 eV/atom. For the energy above the most stable polymorph in this dataset, the calculation gives 1.42 eV per formula unit. Its space group is P4/mmm, No. 123.

Geometry as extended XYZ:
```
4
Lattice="4.081 0.000 0.000 0.000 4.069 0.000 0.000 0.000 4.069" Properties=species:S:1:pos:R:3 pbc="T T T"
Co 2.041 2.034 0.000
La 2.041 0.000 2.034
Ru 0.000 0.000 0.000
Ru 0.000 2.034 2.034
```

Entry from Alexandria via LeMat-Bulk: a relaxed LaCoRu2 crystal (PBE-GGA).

Calculated values
The uncorrected energy is -7.232 eV per atom. The calculation puts the formation energy at 0.414 eV/atom. For the energy above the most stable polymorph in this dataset, the calculation gives 1.49 eV per formula unit. Its space group is Pmmm, No. 47.

Geometry as extended XYZ:
```
4
Lattice="-2.292 -2.125 0.277 2.662 -2.477 3.024 -1.795 2.399 3.545" Properties=species:S:1:pos:R:3 pbc="T T T"
Co -2.044 0.137 1.911
La 0.433 -0.039 3.285
Ru 0.000 0.000 0.000
Ru 0.185 -2.301 1.651
```

Entry from Alexandria via LeMat-Bulk: a relaxed La16Co5Ru3 crystal (PBE-GGA).

Calculated values
The uncorrected energy is -6.085 eV per atom. The calculation puts the formation energy at -0.161 eV/atom. Its space group is Cm, No. 8.

Geometry as extended XYZ:
```
24
Lattice="-6.443 -0.709 -4.927 -7.079 -2.740 2.944 -3.529 12.319 2.893" Properties=species:S:1:pos:R:3 pbc="T T T"
La -9.489 2.447 1.984
La -9.276 6.384 0.897
La -12.180 8.778 1.280
La -2.426 8.293 1.943
La -0.628 2.101 0.491
La -9.170 3.466 -1.967
La -12.520 5.090 2.271
La -12.223 6.038 -1.401
La -5.428 10.550 2.283
La -12.678 2.132 -0.475
La -4.136 0.619 1.775
La -3.842 1.556 -1.859
La -5.916 3.800 0.502
La -8.996 9.207 3.735
La -7.164 0.256 -0.513
La -8.682 10.211 -0.155
Co -10.832 7.157 3.084
Co -10.822 4.149 0.195
Co -10.513 8.174 -0.855
Co -3.262 2.928 0.492
Co -4.519 -0.920 -0.603
Ru -14.084 6.814 0.619
Ru -6.816 1.575 1.977
Ru -6.497 2.596 -1.978
```

Entry from Alexandria via LeMat-Bulk: a relaxed LaCo2Ru2 crystal (PBE-GGA).

Calculated values
The uncorrected energy is -7.445 eV per atom. The calculation puts the formation energy at 0.093 eV/atom. For the energy above the most stable polymorph in this dataset, the calculation gives 0.00 eV per formula unit. Its space group is I4/mmm, No. 139.

Geometry as extended XYZ:
```
5
Lattice="-1.366 -3.887 -0.103 1.442 -0.608 3.812 -4.351 -0.756 3.753" Properties=species:S:1:pos:R:3 pbc="T T T"
Ru -2.839 -3.445 2.752
Ru -1.435 -1.806 4.710
Co -0.974 -1.903 2.293
Co -3.300 -3.347 5.170
La 0.000 0.000 0.000
```

Entry from Alexandria via LeMat-Bulk: a relaxed LaCoRu2 crystal (PBE-GGA).

Calculated values
The uncorrected energy is -7.352 eV per atom. The calculation puts the formation energy at 0.294 eV/atom. For the energy above the most stable polymorph in this dataset, the calculation gives 1.01 eV per formula unit. Its space group is C2/m, No. 12.

Geometry as extended XYZ:
```
4
Lattice="4.921 0.008 0.001 3.995 2.873 0.001 1.070 0.346 4.830" Properties=species:S:1:pos:R:3 pbc="T T T"
Co 7.489 2.420 3.623
La 2.496 0.807 1.208
Ru 1.263 0.408 4.566
Ru 4.800 1.551 2.679
```

Entry from Alexandria via LeMat-Bulk: a relaxed LaCoRu2 crystal (PBE-GGA).

Calculated values
The uncorrected energy is -7.135 eV per atom. The calculation puts the formation energy at 0.511 eV/atom. For the energy above the most stable polymorph in this dataset, the calculation gives 1.88 eV per formula unit. Its space group is Fm-3m, No. 225.

Geometry as extended XYZ:
```
4
Lattice="0.000 3.219 3.219 3.219 0.000 3.219 3.219 3.219 0.000" Properties=species:S:1:pos:R:3 pbc="T T T"
Ru 1.610 1.610 1.610
Ru 4.829 4.829 4.829
Co 0.000 0.000 0.000
La 3.219 3.219 3.219
```

Entry from Alexandria via LeMat-Bulk: a relaxed LaCoRu2 crystal (PBE-GGA).

Calculated values
The uncorrected energy is -7.203 eV per atom. The calculation puts the formation energy at 0.443 eV/atom. For the energy above the most stable polymorph in this dataset, the calculation gives 1.61 eV per formula unit. Its space group is I-42d, No. 122.

Geometry as extended XYZ:
```
8
Lattice="-0.193 1.151 -4.297 -2.542 -3.559 -0.838 -8.270 3.364 -1.034" Properties=species:S:1:pos:R:3 pbc="T T T"
Ru -2.480 0.959 -2.466
Ru -3.706 -1.083 -1.902
Ru -7.572 1.138 -2.815
Ru -8.251 0.899 -5.156
Co -1.368 -1.204 -2.568
Co -6.089 -0.699 -2.220
La 0.000 0.000 0.000
La -4.915 1.656 -3.950
```

Entry from Alexandria via LeMat-Bulk: a relaxed La8CoRu2 crystal (PBE-GGA).

Calculated values
The uncorrected energy is -6.084 eV per atom. The calculation puts the formation energy at -0.168 eV/atom. Its space group is C2/m, No. 12.

Geometry as extended XYZ:
```
11
Lattice="-4.952 4.278 0.748 -5.457 -4.488 2.992 -0.134 0.865 7.623" Properties=species:S:1:pos:R:3 pbc="T T T"
La -4.973 -1.699 2.740
La -8.675 -0.768 5.921
La -1.910 0.409 1.723
La -8.633 0.246 9.639
La -1.867 1.423 5.442
La -5.570 2.354 8.622
La -6.108 1.808 4.932
La -4.435 -1.153 6.430
Co 0.000 0.000 0.000
Ru -3.855 0.672 3.655
Ru -6.688 -0.017 7.708
```

Entry from Alexandria via LeMat-Bulk: a relaxed La2CoRu crystal (PBE-GGA).

Calculated values
The uncorrected energy is -6.676 eV per atom. The calculation puts the formation energy at -0.117 eV/atom. Its space group is Pm, No. 6.

Geometry as extended XYZ:
```
4
Lattice="4.253 0.000 0.000 0.000 4.298 -0.023 0.000 2.185 5.302" Properties=species:S:1:pos:R:3 pbc="T T T"
Co 2.127 4.059 3.857
La 0.000 6.211 4.804
La 2.127 1.892 1.758
Ru 0.000 4.045 2.778
```

Entry from Alexandria via LeMat-Bulk: a relaxed La8Co3Ru crystal (PBE-GGA).

Calculated values
The uncorrected energy is -5.917 eV per atom. The calculation puts the formation energy at -0.083 eV/atom. Its space group is Cm, No. 8.

Geometry as extended XYZ:
```
12
Lattice="-2.029 -4.833 -1.850 1.330 2.675 -8.447 7.982 -1.517 3.559" Properties=species:S:1:pos:R:3 pbc="T T T"
La 7.072 -1.756 -3.170
La 6.135 -0.058 -6.578
La 4.708 -4.586 -1.533
La 3.576 -0.912 -1.540
La 3.674 -2.789 -5.094
La 2.520 0.936 -5.210
La 0.226 -1.939 -3.534
La 1.171 -3.639 -0.128
Co 5.918 -2.303 -0.475
Co 2.276 -3.251 -2.354
Co 1.361 -1.376 -6.248
Ru 4.995 -0.445 -4.317
```

Entry from Alexandria via LeMat-Bulk: a relaxed LaCoRu3 crystal (PBE-GGA).

Calculated values
The uncorrected energy is -7.359 eV per atom. The calculation puts the formation energy at 0.613 eV/atom. For the energy above the most stable polymorph in this dataset, the calculation gives 0.00 eV per formula unit. Its space group is Pm-3m, No. 221.

Geometry as extended XYZ:
```
5
Lattice="-0.581 -3.416 2.955 4.497 -0.715 0.058 0.420 2.925 3.464" Properties=species:S:1:pos:R:3 pbc="T T T"
Ru 2.248 -0.357 0.029
Ru 0.210 1.463 1.732
Ru -0.291 -1.708 1.477
Co 0.000 0.000 0.000
La 2.168 -0.603 3.239
```

Entry from Alexandria via LeMat-Bulk: a relaxed LaCoRu2 crystal (PBE-GGA).

Calculated values
The uncorrected energy is -7.379 eV per atom. The calculation puts the formation energy at 0.267 eV/atom. For the energy above the most stable polymorph in this dataset, the calculation gives 0.90 eV per formula unit. Its space group is Pmm2, No. 25.

Geometry as extended XYZ:
```
4
Lattice="-1.959 2.074 0.306 -1.813 -1.298 -2.814 -3.572 -3.984 4.139" Properties=species:S:1:pos:R:3 pbc="T T T"
Co -1.560 -1.740 1.808
La -4.530 -2.561 1.810
Ru -0.248 -0.277 0.288
Ru -2.791 -0.621 -0.205
```

Question: The lowest uncorrected energy belongs to which entry?
Answer: LaCo2Ru2

Question: uncorrected energy of number 4 (LaCo2Ru2)?
Answer: -7.445 eV per atom

Question: Which formula does entry 10 have?
Answer: La8Co3Ru